A plane-wave DFT calculation with SCAN was carried out for a crystal of CaTcPt2 relaxed with PBEsol.

Results
For the formation energy, the calculation gives -130 kJ/mol of formula units.

Cell: 4.9272 4.9272 2.7768 Å, 90.00 90.00 108.27°
Sites, in units of the cell vectors:
Ca 0.0000 0.0000 0.0000
Tc 0.5000 0.5000 0.0000
Pt 0.0000 0.5000 0.5000
Pt 0.5000 0.0000 0.5000



A plane-wave DFT calculation with SCAN was carried out for a crystal of Gd2CuAu relaxed with PBEsol.

Results
For the formation energy, the calculation gives -223 kJ/mol of formula units.

Cell: 4.9741 4.9741 4.9741 Å, 60.00 60.00 60.00°
Sites, in units of the cell vectors:
Gd 0.2500 0.2500 0.2500
Gd 0.7500 0.7500 0.7500
Cu 0.0000 0.0000 0.0000
Au 0.5000 0.5000 0.5000



A plane-wave DFT calculation with SCAN was carried out for a crystal of Lu3SnC relaxed with PBEsol.

Results
For the formation energy, the calculation gives -383 kJ/mol of formula units.

Cell: 4.6941 4.6941 4.6941 Å, 90.00 90.00 90.00°
Sites, in units of the cell vectors:
Lu 0.0000 0.0000 0.5000
Lu 0.0000 0.5000 0.0000
Lu 0.5000 0.0000 0.0000
Sn 0.5000 0.5000 0.5000
C 0.0000 0.0000 0.0000



A plane-wave DFT calculation with SCAN was carried out for a crystal of ScCoOs2 relaxed with PBEsol.

Results
For the formation energy, the calculation gives 116 kJ/mol of formula units.

Cell: 8.8074 8.8074 8.8074 Å, 18.02 18.02 18.02°
Sites, in units of the cell vectors:
Sc 0.0000 0.0000 0.0000
Co 0.2523 0.2523 0.2523
Os 0.5079 0.5079 0.5079
Os 0.7592 0.7592 0.7592



A plane-wave DFT calculation with SCAN was carried out for a crystal of LiCa2Cd relaxed with PBEsol.

Results
For the formation energy, the calculation gives -53 kJ/mol of formula units.

Cell: 5.9803 5.9803 5.9803 Å, 133.26 133.26 68.25°
Sites, in units of the cell vectors:
Li 0.0000 0.0000 0.0000
Ca 0.5000 0.5000 0.0000
Ca 0.7500 0.2500 0.5000
Cd 0.2500 0.7500 0.5000



A plane-wave DFT calculation with SCAN was carried out for a crystal of Cd3Au2 relaxed with PBEsol.

Results
For the formation energy, the calculation gives -37 kJ/mol of formula units.

Cell: 10.0362 10.0362 10.0362 Å, 162.23 162.23 25.23°
Sites, in units of the cell vectors:
Cd 0.0000 0.0000 0.0000
Cd 0.3916 0.3916 0.0000
Cd 0.6084 0.6084 0.0000
Au 0.2030 0.2030 0.0000
Au 0.7970 0.7970 0.0000